Entry 1:
Compound: AcPr2Ho
Source: Alexandria
Functional: GGA-PBE
Structure: optimized geometry

The structure belongs to space group Fm-3m (No. 225); the cell edges are 8.414, 8.414 and 8.414 Å and the angles 90.00°, 90.00° and 90.00°. Symmetry generates all atoms from Ac at (0.000, 0.000, 0.000), Pr at (0.250, 0.250, 0.250) and Ho at (0.000, 0.000, 0.500).

As for the calculated volume: 37.23 Å³/atom. The energy of formation is 0.1615 eV per atom. The value obtained for the density of states at the Fermi level is 10.102 states/eV/f.u.



Entry 2:
Compound: Y2Nb2Ag
Source: Alexandria
Functional: GGA-PBE
Structure: optimized geometry

The structure belongs to space group P4/mbm (No. 127); the cell edges are 7.263, 7.263 and 4.547 Å and the angles 90.00°, 90.00° and 90.00°. Symmetry generates all atoms from Y at (0.176, 0.324, 0.000), Nb at (0.122, 0.622, 0.500) and Ag at (0.000, 0.000, 0.500).

As for the calculated volume: 23.98 Å³/atom. The energy of formation is 0.3332 eV per atom. The value obtained for the density of states at the Fermi level is 9.915 states/eV/f.u.



Entry 3:
Compound: TlRhW2
Source: Alexandria
Functional: GGA-PBE
Structure: optimized geometry

The structure belongs to space group Fm-3m (No. 225); the cell edges are 6.491, 6.491 and 6.491 Å and the angles 90.00°, 90.00° and 90.00°. Symmetry generates all atoms from Tl at (0.000, 0.000, 0.000), Rh at (0.000, 0.000, 0.500) and W at (0.250, 0.250, 0.250).

As for the calculated volume: 17.09 Å³/atom. The energy of formation is 0.9593 eV per atom. The value obtained for the density of states at the Fermi level is 7.464 states/eV/f.u.



Quick rundown of excess energy over the best structure of this formula in the dataset, same order as above: 0.138; 0.000; 0.604 eV per atom